Entry 1:
# BaGaIr2

A geometry-optimized BaGaIr2 structure (GGA-PBE, Alexandria).

Cell and atoms, written as CIF:
```
data_BaGaIr2
_cell_length_a 5.014
_cell_length_b 5.014
_cell_length_c 17.096
_cell_angle_alpha 90.00
_cell_angle_beta 90.00
_cell_angle_gamma 90.00
_space_group_name_H-M_alt 'P 1'
_space_group_IT_number 1
loop_
_space_group_symop_operation_xyz
'x,y,z'
loop_
_atom_site_label
_atom_site_fract_x
_atom_site_fract_y
_atom_site_fract_z
Ba1 0.000 0.250 0.375
Ba2 0.000 0.750 0.625
Ba3 0.500 0.250 0.125
Ba4 0.500 0.750 0.875
Ga1 0.000 0.250 0.875
Ga2 0.000 0.750 0.125
Ga3 0.500 0.250 0.625
Ga4 0.500 0.750 0.375
Ir1 0.000 0.000 0.000
Ir2 0.000 0.500 0.000
Ir3 0.250 0.250 0.750
Ir4 0.250 0.750 0.250
Ir5 0.500 0.000 0.500
Ir6 0.500 0.500 0.500
Ir7 0.750 0.250 0.750
Ir8 0.750 0.750 0.250
```

Results
As for the density: 9.14 g/cm3. The calculation puts the formation energy at -0.12 eV per atom. For the magnetization, the calculation gives 0.00 μB per cell.



Entry 2:
# Ba6GaIr

A geometry-optimized Ba6GaIr structure (GGA-PBE, Alexandria).

Cell and atoms, written as CIF:
```
data_Ba6GaIr
_cell_length_a 4.363
_cell_length_b 12.609
_cell_length_c 14.243
_cell_angle_alpha 90.00
_cell_angle_beta 90.00
_cell_angle_gamma 90.00
_space_group_name_H-M_alt 'P 1'
_space_group_IT_number 1
loop_
_space_group_symop_operation_xyz
'x,y,z'
loop_
_atom_site_label
_atom_site_fract_x
_atom_site_fract_y
_atom_site_fract_z
Ba1 0.000 0.000 0.000
Ba2 0.000 0.152 0.707
Ba3 0.000 0.348 0.207
Ba4 0.000 0.500 0.500
Ba5 0.000 0.652 0.207
Ba6 0.000 0.848 0.707
Ba7 0.500 0.000 0.270
Ba8 0.500 0.213 0.470
Ba9 0.500 0.287 0.970
Ba10 0.500 0.500 0.770
Ba11 0.500 0.713 0.970
Ba12 0.500 0.787 0.470
Ga1 0.000 0.000 0.486
Ga2 0.000 0.500 0.986
Ir1 0.500 0.000 0.575
Ir2 0.500 0.500 0.075
```

Results
As for the density: 4.60 g/cm3. The calculation puts the formation energy at -0.13 eV per atom. For the magnetization, the calculation gives 0.00 μB per cell.



Entry 3:
# BaGa6Ir3

A geometry-optimized BaGa6Ir3 structure (GGA-PBE, Alexandria).

Cell and atoms, written as CIF:
```
data_BaGa6Ir3
_cell_length_a 7.394
_cell_length_b 6.680
_cell_length_c 8.398
_cell_angle_alpha 90.00
_cell_angle_beta 115.10
_cell_angle_gamma 90.00
_space_group_name_H-M_alt 'P 1'
_space_group_IT_number 1
loop_
_space_group_symop_operation_xyz
'x,y,z'
loop_
_atom_site_label
_atom_site_fract_x
_atom_site_fract_y
_atom_site_fract_z
Ba1 0.000 0.000 0.000
Ba2 0.000 0.500 0.500
Ga1 0.130 0.020 0.682
Ga2 0.130 0.480 0.182
Ga3 0.325 0.673 0.918
Ga4 0.325 0.827 0.418
Ga5 0.430 0.222 0.237
Ga6 0.430 0.278 0.737
Ga7 0.570 0.722 0.263
Ga8 0.570 0.778 0.763
Ga9 0.675 0.173 0.582
Ga10 0.675 0.327 0.082
Ga11 0.870 0.520 0.818
Ga12 0.870 0.980 0.318
Ir1 0.214 0.166 0.416
Ir2 0.214 0.334 0.916
Ir3 0.500 0.000 0.000
Ir4 0.500 0.500 0.500
Ir5 0.786 0.666 0.084
Ir6 0.786 0.834 0.584
```

Results
As for the density: 10.01 g/cm3. The calculation puts the formation energy at -0.31 eV per atom. For the magnetization, the calculation gives 0.00 μB per cell.



Entry 4:
# BaGa3Ir

A geometry-optimized BaGa3Ir structure (GGA-PBE, Alexandria).

Cell and atoms, written as CIF:
```
data_BaGa3Ir
_cell_length_a 4.980
_cell_length_b 6.963
_cell_length_c 7.502
_cell_angle_alpha 77.08
_cell_angle_beta 77.28
_cell_angle_gamma 89.50
_space_group_name_H-M_alt 'P 1'
_space_group_IT_number 1
loop_
_space_group_symop_operation_xyz
'x,y,z'
loop_
_atom_site_label
_atom_site_fract_x
_atom_site_fract_y
_atom_site_fract_z
Ba1 0.125 0.324 0.235
Ba2 0.875 0.676 0.765
Ga1 0.071 0.195 0.739
Ga2 0.301 0.904 0.959
Ga3 0.500 0.000 0.500
Ga4 0.500 0.500 0.500
Ga5 0.699 0.096 0.041
Ga6 0.929 0.805 0.261
Ir1 0.412 0.802 0.296
Ir2 0.588 0.198 0.704
```

Results
As for the density: 7.24 g/cm3. The calculation puts the formation energy at -0.46 eV per atom. For the magnetization, the calculation gives 0.00 μB per cell.